VASP calculation (PBE-GGA) on a relaxed Co2RuPt crystal.

Computed properties:
Space-group type   No. 225

a b c (Å): 4.211 4.211 4.211
angles (deg): 60.00 60.00 60.00
Atoms (fractional coordinates):
Co (0.250, 0.250, 0.250)
Co (0.750, 0.750, 0.750)
Ru (0.000, 0.000, 0.000)
Pt (0.500, 0.500, 0.500)

---

VASP calculation (PBE-GGA) on a relaxed RbBe2Ir2 crystal.

Computed properties:
Space-group type   No. 127

a b c (Å): 7.676 7.676 2.747
angles (deg): 90.00 90.00 90.00
Atoms (fractional coordinates):
Rb (0.000, 0.000, 0.000)
Rb (0.500, 0.500, 0.000)
Be (0.125, 0.375, 0.000)
Be (0.375, 0.875, 0.000)
Be (0.625, 0.125, 0.000)
Be (0.875, 0.625, 0.000)
Ir (0.129, 0.629, 0.500)
Ir (0.371, 0.129, 0.500)
Ir (0.629, 0.871, 0.500)
Ir (0.871, 0.371, 0.500)

---

Number 1: polymorph energy (0 for the lowest one) 139 meV/atom, VASP energy -28.71 eV per cell, DFT formation energy 19.70 kJ per mole of atoms. Number 2: polymorph energy (0 for the lowest one) 347 meV/atom, VASP energy -48.51 eV per cell, DFT formation energy 36.38 kJ per mole of atoms.